! MgBeOs2 (PBE, relaxed); values from VASP
&SYSTEM
  ibrav = 0, nat = 4, ntyp = 3
/
ATOMIC_SPECIES
Mg 24.30 Mg.upf
Be 9.01 Be.upf
Os 190.23 Os.upf
CELL_PARAMETERS angstrom
4.860 -1.410 0.000
4.860 1.410 0.000
-2.030 0.000 3.966
ATOMIC_POSITIONS crystal
Mg 0.000 0.000 0.000
Be 0.500 0.500 0.500
Os 0.214 0.214 0.714
Os 0.786 0.786 0.286
! Theoretical density = 12.6 Mg/m³
! Calculated total energy = -27.4 eV for the cell shown
! Volume = 13.6 Å³ per atom